## Fe2CoAs2H10O14 (GGA+U)

Data for an optimized crystal structure of Fe2CoAs2H10O14.

a = 10.4647 Å, b = 9.6703 Å, c = 5.6386 Å
α = 90.00°, β = 93.93°, γ = 90.00°
Closest atoms and distances in Å follow each position.
Space group P2_1/c (No. 14)
Asymmetric unit:
Fe 0.0498 0.1356 0.1633 [4 per cell]  6 O 2.01-2.13
Co 0.5000 0.0000 0.5000 [2 per cell]  6 O 2.03-2.20
As 0.2065 0.0684 0.6740 [4 per cell]  4 O 1.70-1.76
H 0.0813 0.6574 0.9801 [4 per cell]  1 O 0.99
H 0.2866 0.5799 0.7611 [4 per cell]  1 O 0.99
H 0.3727 0.2150 0.2914 [4 per cell]  1 O 0.99
H 0.3740 0.5522 0.5479 [4 per cell]  1 O 1.00
H 0.4788 0.7439 0.6750 [4 per cell]  1 O 0.99
O 0.0333 0.7273 0.0676 [4 per cell]  1 H 0.99
O 0.0996 0.0130 0.8811 [4 per cell]  1 As 1.76
O 0.1505 0.0044 0.3978 [4 per cell]  1 As 1.74, 2 H 1.80-1.85
O 0.2100 0.2465 0.6836 [4 per cell]  1 As 1.72, 1 H 1.81
O 0.3539 0.0009 0.7469 [4 per cell]  1 As 1.70, 1 H 1.77
O 0.3752 0.5916 0.7125 [4 per cell]  2 H 0.99-1.00
O 0.4551 0.1935 0.3813 [4 per cell]  2 H 0.99

Computed properties:
Size of the total moment: 26.00 μB per cell
Final energy: -163.0 eV/f.u.
D(E_F): 0.000 states/eV/f.u.